[1]
Here is a relaxed PrThMgGa crystal from Alexandria. Energies are from GGA-PBE.

Unit cell a=5.342 b=5.342 c=5.342 alpha=60.00 beta=60.00 gamma=60.00
Fractional positions:
Ga (0.250, 0.250, 0.250)
Th (0.000, 0.000, 0.000)
Pr (0.500, 0.500, 0.500)
Mg (0.750, 0.750, 0.750)

**Formation energy from the elements**: -0.21 eV/atom


[2]
Here is a relaxed AsOsCl2 crystal from Alexandria. Energies are from GGA-PBE.

Unit cell a=8.789 b=8.789 c=6.646 alpha=48.60 beta=48.60 gamma=90.00
Fractional positions:
Cl (0.375, 0.236, 0.750)
Cl (0.875, 0.014, 0.750)
Cl (0.986, 0.625, 0.250)
Cl (0.764, 0.125, 0.250)
Os (0.000, 0.000, 0.000)
Os (0.750, 0.250, 0.500)
As (0.500, 0.500, 0.000)
As (0.250, 0.750, 0.500)

**ΔE to the lowest computed polymorph**: 0.3726 eV/atom
**Formation energy without anion corrections**: 298 meV per atom


[3]
Here is a relaxed Na2PdI4 crystal from Alexandria. Energies are from GGA-PBE.

Unit cell a=7.838 b=7.838 c=7.017 alpha=123.95 beta=123.95 gamma=90.00
Fractional positions:
Na (0.250, 0.750, 0.500)
Na (0.750, 0.250, 0.500)
Pd (0.500, 0.500, 0.000)
I (0.756, 0.281, 0.037)
I (0.244, 0.244, 0.963)
I (0.281, 0.756, 0.037)
I (0.719, 0.719, 0.963)

**ΔE to the lowest computed polymorph**: 0.0000 eV/atom
**Formation energy without anion corrections**: -750 meV per atom